No. 1
VASP calculation (PBE) on crystalline EuAs2 at its relaxed geometry.

The structure in extended XYZ format:
```
6
Lattice="5.8181 0.0000 0.0000 2.9090 5.0386 0.0000 2.9090 1.6795 4.7504" Properties=species:S:1:pos:R:3 pbc="T T T"
Eu 0.0000 0.0000 0.0000
Eu 2.9090 1.6795 1.1876
As 4.3635 4.1988 2.9690
As 5.8181 1.6795 2.9690
As 7.2726 4.1988 2.9690
As 5.8181 3.3591 0.5938
```

Computed properties:
The value obtained for the calculated volume is 23.21 Å³ per atom. The formation energy comes out at -0.528 eV/atom. Its crystal system is cubic. The symmetry is Fd-3m (227).


No. 2
VASP calculation (PBE) on crystalline Eu5As at its relaxed geometry.

The structure in extended XYZ format:
```
6
Lattice="-3.3125 2.0898 -3.8703 -3.3130 -2.6687 1.3945 -0.8736 7.2857 4.6816" Properties=species:S:1:pos:R:3 pbc="T T T"
Eu -2.5072 3.0467 -0.1259
Eu -1.8326 4.3108 3.8961
Eu -3.3127 -0.2895 -1.2379
Eu -2.3539 0.3063 2.1800
Eu -4.9918 3.6601 2.3317
As 0.0000 0.0000 0.0000
```

Computed properties:
The value obtained for the calculated volume is 34.56 Å³ per atom. The formation energy comes out at -0.282 eV/atom. Its crystal system is orthorhombic. The symmetry is Cmmm (65).


No. 3
VASP calculation (PBE) on crystalline EuAs3 at its relaxed geometry.

The structure in extended XYZ format:
```
4
Lattice="-3.4283 -2.5525 1.0941 1.9999 -3.4752 -1.8408 1.9264 -0.9342 3.8565" Properties=species:S:1:pos:R:3 pbc="T T T"
Eu -0.5903 -1.8212 2.7970
As 0.1603 -0.0778 0.3210
As 2.1236 -2.2825 1.3291
As -0.5535 -3.0917 -0.0517
```

Computed properties:
The value obtained for the calculated volume is 21.46 Å³ per atom. The formation energy comes out at -0.454 eV/atom. Its crystal system is cubic. The symmetry is Pm-3m (221).


No. 4
VASP calculation (PBE) on crystalline Eu3As at its relaxed geometry.

The structure in extended XYZ format:
```
4
Lattice="-4.8403 0.3895 -0.2755 -0.0042 -2.8473 -3.9517 -0.4821 -3.9679 2.8595" Properties=species:S:1:pos:R:3 pbc="T T T"
Eu -0.2830 -3.7357 -0.3096
Eu -2.4624 -1.5592 -1.8756
Eu -2.7016 -2.1216 1.5315
As -0.0403 -0.3318 0.2391
```

Computed properties:
The value obtained for the calculated volume is 29.11 Å³ per atom. The formation energy comes out at -0.494 eV/atom. The value obtained for the energy above the lowest structure with this stoichiometry is 0.095 eV/atom. Its crystal system is tetragonal. The symmetry is P4/mmm (123).


No. 5
VASP calculation (PBE) on crystalline Eu2AsF at its relaxed geometry.

The structure in extended XYZ format:
```
4
Lattice="-0.9073 -2.9543 2.9083 -2.2187 -3.4470 -1.0975 4.2620 -5.1115 -0.7665" Properties=species:S:1:pos:R:3 pbc="T T T"
Eu 0.3684 -2.9256 0.2393
Eu 0.7677 -8.5872 0.8050
As 0.0000 0.0000 0.0000
F 0.5680 -5.7564 0.5222
```

Computed properties:
The value obtained for the calculated volume is 24.31 Å³ per atom. Its crystal system is trigonal. The symmetry is R-3m (166). As for the calculated total energy: -35.0 eV/cell.


No. 6
VASP calculation (PBE) on crystalline EuFeAs2 at its relaxed geometry.

The structure in extended XYZ format:
```
4
Lattice="5.1583 0.0000 0.0000 2.5791 4.4672 0.0000 2.5791 1.4891 3.5316" Properties=species:S:1:pos:R:3 pbc="T T T"
Eu 5.1583 2.9781 1.7658
As 2.5792 1.4891 1.1225
As 7.7374 4.4672 2.4091
Fe 0.0000 0.0000 0.0000
```

Computed properties:
The value obtained for the calculated volume is 20.34 Å³ per atom. The formation energy comes out at -0.238 eV/atom. Its crystal system is trigonal. The symmetry is R-3m (166).